A plane-wave DFT calculation with PBE was carried out for La3Tb2PrAs6 after structural relaxation.

Output
Total energy, eV per cell: -75.219

a = 7.4256 Å, b = 7.4256 Å, c = 7.4240 Å
α = 99.60°, β = 99.60°, γ = 119.99°
Fractional positions:
As (0.0805, 0.4193, 0.2415)
As (0.7414, 0.7414, 0.2406)
Tb (0.6670, 0.3330, 0.0000)
La (0.5000, 0.5000, 0.5000)
Tb (0.3330, 0.6670, 0.0000)
La (0.1657, 0.8343, 0.5000)
As (0.4193, 0.0805, 0.2415)
As (0.2586, 0.2586, 0.7594)
As (0.9195, 0.5807, 0.7585)
La (0.8343, 0.1657, 0.5000)
Pr (0.0000, 0.0000, 0.0000)
As (0.5807, 0.9195, 0.7585)


A plane-wave DFT calculation with PBE was carried out for La2PrThAs4 after structural relaxation.

Output
Total energy, eV per cell: -52.977

a = 4.3226 Å, b = 7.4798 Å, c = 7.4982 Å
α = 109.39°, β = 90.00°, γ = 90.00°
Fractional positions:
Pr (0.0000, 0.0000, 0.0000)
As (0.0000, 0.2555, 0.7570)
La (0.5000, 0.0000, 0.5000)
As (0.5000, 0.2522, 0.2451)
As (0.0000, 0.7445, 0.2430)
Th (0.5000, 0.5000, 0.0000)
As (0.5000, 0.7478, 0.7549)
La (0.0000, 0.5000, 0.5000)


A plane-wave DFT calculation with PBE was carried out for La3Pr2ThAs6 after structural relaxation.

Output
Total energy, eV per cell: -78.185

a = 4.3291 Å, b = 8.6693 Å, c = 9.6803 Å
α = 103.00°, β = 102.92°, γ = 90.00°
Fractional positions:
La (0.5000, 0.5000, 0.0000)
As (0.3363, 0.9171, 0.6726)
As (0.6669, 0.5824, 0.3337)
As (0.9998, 0.7570, 0.9995)
La (0.8322, 0.1677, 0.6645)
La (0.1678, 0.8323, 0.3355)
As (0.6637, 0.0829, 0.3274)
Th (0.5000, 0.0000, 0.0000)
Pr (0.8328, 0.6649, 0.6655)
As (0.3332, 0.4176, 0.6663)
Pr (0.1672, 0.3351, 0.3345)
As (0.0002, 0.2430, 0.0005)


A plane-wave DFT calculation with PBE was carried out for La3PrTh2As6 after structural relaxation.

Output
Total energy, eV per cell: -80.703

a = 7.4779 Å, b = 7.4779 Å, c = 7.4891 Å
α = 99.56°, β = 99.56°, γ = 120.03°
Fractional positions:
As (0.9188, 0.5813, 0.7569)
La (0.1654, 0.8346, 0.5000)
La (0.8346, 0.1654, 0.5000)
As (0.7432, 0.7432, 0.2427)
As (0.5813, 0.9188, 0.7569)
Pr (0.0000, 0.0000, 0.0000)
As (0.2568, 0.2568, 0.7573)
As (0.0812, 0.4187, 0.2431)
Th (0.3330, 0.6670, 0.0000)
La (0.5000, 0.5000, 0.5000)
As (0.4187, 0.0812, 0.2431)
Th (0.6670, 0.3330, 0.0000)


A plane-wave DFT calculation with PBE was carried out for LaPr2Th3As6 after structural relaxation.

Output
Total energy, eV per cell: -82.437

a = 7.4292 Å, b = 7.4292 Å, c = 7.4293 Å
α = 99.61°, β = 99.61°, γ = 119.93°
Fractional positions:
As (0.9144, 0.5801, 0.7429)
As (0.5801, 0.9144, 0.7429)
Th (0.8337, 0.1663, 0.5000)
As (0.7512, 0.7512, 0.2563)
As (0.0856, 0.4199, 0.2571)
Th (0.5000, 0.5000, 0.5000)
La (0.0000, 0.0000, 0.0000)
Th (0.1663, 0.8337, 0.5000)
Pr (0.6665, 0.3335, 0.0000)
As (0.2488, 0.2488, 0.7437)
As (0.4199, 0.0856, 0.2571)
Pr (0.3335, 0.6665, 0.0000)


A plane-wave DFT calculation with PBE was carried out for La2Pr3ThAs6 after structural relaxation.

Output
Total energy, eV per cell: -77.874

a = 4.3197 Å, b = 8.6441 Å, c = 9.6494 Å
α = 102.81°, β = 102.93°, γ = 90.00°
Fractional positions:
As (0.0009, 0.7560, 0.0017)
Pr (0.1676, 0.8328, 0.3353)
As (0.9991, 0.2440, 0.9983)
La (0.1668, 0.3346, 0.3336)
As (0.3340, 0.4153, 0.6680)
As (0.3359, 0.9196, 0.6718)
Pr (0.8324, 0.1672, 0.6647)
As (0.6660, 0.5847, 0.3320)
Pr (0.5000, 0.5000, 0.0000)
As (0.6641, 0.0804, 0.3282)
Th (0.5000, 0.0000, 0.0000)
La (0.8332, 0.6654, 0.6664)


A plane-wave DFT calculation with PBE was carried out for La2PrTh3As6 after structural relaxation.

Output
Total energy, eV per cell: -82.735

a = 7.4424 Å, b = 7.4424 Å, c = 7.4523 Å
α = 99.59°, β = 99.59°, γ = 119.93°
Fractional positions:
La (0.3333, 0.6667, 0.0000)
As (0.9143, 0.5818, 0.7426)
As (0.0857, 0.4182, 0.2574)
Th (0.5000, 0.5000, 0.5000)
As (0.2463, 0.2463, 0.7415)
Pr (0.0000, 0.0000, 0.0000)
As (0.4182, 0.0857, 0.2574)
As (0.5818, 0.9143, 0.7426)
As (0.7537, 0.7537, 0.2585)
Th (0.8329, 0.1671, 0.5000)
La (0.6667, 0.3333, 0.0000)
Th (0.1671, 0.8329, 0.5000)


A plane-wave DFT calculation with PBE was carried out for LaPr2ThAs4 after structural relaxation.

Output
Total energy, eV per cell: -52.673

a = 4.3096 Å, b = 7.4512 Å, c = 7.4678 Å
α = 70.56°, β = 90.00°, γ = 90.00°
Fractional positions:
As (0.5000, 0.2539, 0.7446)
As (0.0000, 0.7483, 0.7457)
As (0.5000, 0.7461, 0.2554)
La (0.5000, 0.5000, 0.0000)
Th (0.0000, 0.5000, 0.5000)
As (0.0000, 0.2517, 0.2543)
Pr (0.0000, 0.0000, 0.0000)
Pr (0.5000, 0.0000, 0.5000)


A plane-wave DFT calculation with PBE was carried out for La2Pr3TmAs6 after structural relaxation.

Output
Total energy, eV per cell: -74.663

a = 4.2972 Å, b = 8.5891 Å, c = 9.5997 Å
α = 103.00°, β = 102.93°, γ = 90.00°
Fractional positions:
Pr (0.1671, 0.8345, 0.3341)
As (0.6663, 0.5844, 0.3325)
As (0.3375, 0.9207, 0.6750)
As (0.9987, 0.2391, 0.9975)
La (0.1649, 0.3305, 0.3297)
Tm (0.5000, 0.0000, 0.0000)
As (0.6625, 0.0793, 0.3250)
As (0.0013, 0.7609, 0.0025)
Pr (0.5000, 0.5000, 0.0000)
As (0.3337, 0.4156, 0.6675)
Pr (0.8329, 0.1655, 0.6659)
La (0.8351, 0.6695, 0.6703)


A plane-wave DFT calculation with PBE was carried out for La2PrTm3As6 after structural relaxation.

Output
Total energy, eV per cell: -74.082

a = 4.2148 Å, b = 8.4101 Å, c = 9.4054 Å
α = 102.75°, β = 102.95°, γ = 90.00°
Fractional positions:
As (0.6628, 0.5927, 0.3257)
As (0.9961, 0.2579, 0.9922)
La (0.1663, 0.3324, 0.3325)
Pr (0.5000, 0.0000, 0.0000)
As (0.0039, 0.7421, 0.0078)
Tm (0.8335, 0.1665, 0.6669)
Tm (0.5000, 0.5000, 0.0000)
As (0.3372, 0.4073, 0.6743)
La (0.8337, 0.6676, 0.6675)
Tm (0.1665, 0.8335, 0.3331)
As (0.3301, 0.9266, 0.6603)
As (0.6699, 0.0734, 0.3397)


A plane-wave DFT calculation with PBE was carried out for LaPr2TmAs4 after structural relaxation.

Output
Total energy, eV per cell: -49.541

a = 4.2717 Å, b = 7.3898 Å, c = 7.3851 Å
α = 70.57°, β = 90.00°, γ = 90.00°
Fractional positions:
As (0.0000, 0.7463, 0.7436)
As (0.0000, 0.2537, 0.2564)
As (0.5000, 0.7408, 0.2604)
Pr (0.5000, 0.0000, 0.5000)
Tm (0.0000, 0.5000, 0.5000)
As (0.5000, 0.2592, 0.7396)
Pr (0.0000, 0.0000, 0.0000)
La (0.5000, 0.5000, 0.0000)


A plane-wave DFT calculation with PBE was carried out for LaPr2UAs4 after structural relaxation.

Output
Total energy, eV per cell: -54.814

a = 6.0339 Å, b = 6.0339 Å, c = 7.3979 Å
α = 114.16°, β = 114.16°, γ = 89.79°
Fractional positions:
Pr (0.2500, 0.7500, 0.5000)
Pr (0.0000, 0.0000, 0.0000)
La (0.5000, 0.5000, 0.0000)
U (0.7500, 0.2500, 0.5000)
As (0.7508, 0.7508, 0.5016)
As (0.5104, 0.0104, 0.0209)
As (0.9896, 0.4896, 0.9791)
As (0.2492, 0.2492, 0.4984)


A plane-wave DFT calculation with PBE was carried out for LaPr2YAs4 after structural relaxation.

Output
Total energy, eV per cell: -103.418

a = 8.5624 Å, b = 8.5624 Å, c = 8.5686 Å
α = 120.02°, β = 120.02°, γ = 89.96°
Fractional positions:
Pr (0.5000, 0.0000, 0.0000)
La (0.0000, 0.0000, 0.0000)
Pr (0.5000, 0.0000, 0.5000)
As (0.7564, 0.2576, 0.0071)
Pr (0.0000, 0.0000, 0.5000)
Y (0.0000, 0.5000, 0.0000)
Pr (0.5000, 0.5000, 0.0000)
As (0.2436, 0.7424, 0.9929)
As (0.2465, 0.2535, 0.5014)
As (0.7576, 0.2564, 0.5071)
As (0.2465, 0.2535, 0.9986)
As (0.7535, 0.7465, 0.0014)
As (0.7535, 0.7465, 0.4986)
La (0.5000, 0.5000, 0.5000)
As (0.2424, 0.7436, 0.4929)
Y (0.0000, 0.5000, 0.5000)


A plane-wave DFT calculation with PBE was carried out for La3Pr2YAs6 after structural relaxation.

Output
Total energy, eV per cell: -77.178

a = 4.3155 Å, b = 8.6244 Å, c = 9.6413 Å
α = 102.94°, β = 102.93°, γ = 90.00°
Fractional positions:
As (0.3367, 0.9172, 0.6733)
Pr (0.8344, 0.6681, 0.6687)
La (0.5000, 0.5000, 0.0000)
Pr (0.1656, 0.3319, 0.3313)
La (0.1670, 0.8343, 0.3339)
Y (0.5000, 0.0000, 0.0000)
As (0.6671, 0.5823, 0.3343)
As (0.6633, 0.0828, 0.3267)
As (0.9999, 0.2414, 0.9998)
As (0.0001, 0.7586, 0.0002)
As (0.3329, 0.4177, 0.6657)
La (0.8330, 0.1657, 0.6661)


A plane-wave DFT calculation with PBE was carried out for La2AsPt2 after structural relaxation.

Output
E above lowest polymorph, meV/atom: 76
Total energy, eV per cell: -31.733

a = 5.6369 Å, b = 5.6369 Å, c = 5.6650 Å
α = 60.16°, β = 60.16°, γ = 90.00°
Fractional positions:
La (0.7500, 0.2500, 0.5000)
Pt (0.6581, 0.6581, 0.6838)
La (0.2500, 0.7500, 0.5000)
As (0.0000, 0.0000, 0.0000)
Pt (0.3419, 0.3419, 0.3162)


A plane-wave DFT calculation with PBE was carried out for LaAsPt2 after structural relaxation.

Output
Total energy, eV per cell: -50.900

a = 4.3361 Å, b = 5.6992 Å, c = 7.0705 Å
α = 90.00°, β = 90.00°, γ = 112.36°
Fractional positions:
La (0.0581, 0.1162, 0.7500)
As (0.2293, 0.4585, 0.2500)
La (0.9419, 0.8838, 0.2500)
As (0.7707, 0.5415, 0.7500)
Pt (0.6366, 0.2733, 0.4471)
Pt (0.3634, 0.7267, 0.9471)
Pt (0.3634, 0.7267, 0.5529)
Pt (0.6366, 0.2733, 0.0529)


A plane-wave DFT calculation with PBE was carried out for LaAsPt after structural relaxation.

Output
Total energy, eV per cell: -76.924

a = 7.6772 Å, b = 4.3922 Å, c = 11.2733 Å
α = 90.00°, β = 133.23°, γ = 90.00°
Fractional positions:
La (0.2367, 0.5000, 0.7385)
La (0.7633, 0.5000, 0.2615)
As (0.3402, 0.0000, 0.0082)
Pt (0.1759, 0.0000, 0.4971)
La (0.7633, 0.0000, 0.7615)
La (0.2367, 0.0000, 0.2385)
As (0.6598, 0.0000, 0.9918)
As (0.6598, 0.5000, 0.4918)
Pt (0.8241, 0.5000, 0.0029)
As (0.3402, 0.5000, 0.5082)
Pt (0.8241, 0.0000, 0.5029)
Pt (0.1759, 0.5000, 0.9971)


A plane-wave DFT calculation with PBE was carried out for LaAs2Pt after structural relaxation.

Output
Total energy, eV per cell: -22.312

a = 4.9101 Å, b = 4.9101 Å, c = 4.9101 Å
α = 60.00°, β = 60.00°, γ = 60.00°
Fractional positions:
Pt (0.5000, 0.5000, 0.5000)
As (0.7500, 0.7500, 0.7500)
La (0.0000, 0.0000, 0.0000)
As (0.2500, 0.2500, 0.2500)


A plane-wave DFT calculation with PBE was carried out for LaAsPt2 after structural relaxation.

Output
Total energy, eV per cell: -25.037

a = 5.7526 Å, b = 5.7526 Å, c = 5.7526 Å
α = 44.86°, β = 44.86°, γ = 44.86°
Fractional positions:
La (0.7500, 0.7500, 0.7500)
Pt (0.9621, 0.9621, 0.9621)
Pt (0.5379, 0.5379, 0.5379)
As (0.2500, 0.2500, 0.2500)


A plane-wave DFT calculation with PBE was carried out for LaAsPt4 after structural relaxation.

Output
Total energy, eV per cell: -37.272

a = 5.4439 Å, b = 5.4439 Å, c = 5.4439 Å
α = 60.00°, β = 60.00°, γ = 60.00°
Fractional positions:
As (0.7500, 0.7500, 0.7500)
Pt (0.3754, 0.8737, 0.3754)
Pt (0.8737, 0.3754, 0.3754)
La (0.0000, 0.0000, 0.0000)
Pt (0.3754, 0.3754, 0.8737)
Pt (0.3754, 0.3754, 0.3754)


Number 1: mass density 6.583 g/cm3. Number 2: mass density 6.902 g/cm3. Number 3: mass density 6.651 g/cm3. Number 4: mass density 7.145 g/cm3. Number 5: mass density 7.764 g/cm3. Number 6: mass density 6.711 g/cm3. Number 7: mass density 7.701 g/cm3. Number 8: mass density 6.994 g/cm3. Number 9: mass density 6.518 g/cm3. Number 10: mass density 7.215 g/cm3. Number 11: mass density 6.717 g/cm3. Number 12: mass density 7.240 g/cm3. Number 13: mass density 6.053 g/cm3. Number 14: mass density 6.035 g/cm3. Number 15: mass density 9.645 g/cm3. Number 16: mass density 12.413 g/cm3. Number 17: mass density 9.807 g/cm3. Number 18: mass density 9.598 g/cm3. Number 19: mass density 11.635 g/cm3. Number 20: mass density 14.471 g/cm3.